# NaTiB PBE-GGA relaxed
data_NaTiB
_chemical_formula_sum 'Na1 Ti1 B1'
_space_group_name_H-M_alt 'P -6 m 2'
_space_group_IT_number 187
_space_group_name_Hall 'P -6 2'
_cell_length_a 3.6939
_cell_length_b 3.6939
_cell_length_c 4.9038
_cell_angle_alpha 90.00
_cell_angle_beta 90.00
_cell_angle_gamma 120.00
loop_
_atom_site_label
_atom_site_fract_x
_atom_site_fract_y
_atom_site_fract_z
Na1 0.0000 0.0000 0.0000
Ti1 0.6667 0.3333 0.5000
B1 0.3333 0.6667 0.5000
# Energy relative to the elements, eV/atom: 0.672
# Size of the total moment, μB per cell: 0.8
# DOS at the Fermi energy, states/eV/f.u.: 2.8

# NaTiB PBE-GGA relaxed
data_NaTiB
_chemical_formula_sum 'Na2 Ti2 B2'
_space_group_name_H-M_alt 'P 1'
_space_group_IT_number 1
_cell_length_a 3.290
_cell_length_b 4.210
_cell_length_c 9.488
_cell_angle_alpha 90.82
_cell_angle_beta 90.12
_cell_angle_gamma 112.90
loop_
_space_group_symop_operation_xyz
'x,y,z'
loop_
_atom_site_label
_atom_site_fract_x
_atom_site_fract_y
_atom_site_fract_z
Na1 0.000 0.000 0.000
Na2 0.276 0.544 0.307
Ti1 0.723 0.452 0.756
Ti2 0.995 0.000 0.572
B1 0.282 0.572 0.607
B2 0.438 0.884 0.725
# Energy relative to the elements, eV/atom: 0.046
# Size of the total moment, μB per cell: 0.0
# DOS at the Fermi energy, states/eV/f.u.: 4.8

# Na3TiB PBE-GGA relaxed
data_Na3TiB
_chemical_formula_sum 'Na3 Ti1 B1'
_space_group_name_H-M_alt 'P m -3 m'
_space_group_IT_number 221
_space_group_name_Hall '-P 4 2 3'
_cell_length_a 5.871
_cell_length_b 5.871
_cell_length_c 5.871
_cell_angle_alpha 90.00
_cell_angle_beta 90.00
_cell_angle_gamma 90.00
loop_
_atom_site_label
_atom_site_fract_x
_atom_site_fract_y
_atom_site_fract_z
Na1 0.000 0.000 0.500
Ti1 0.000 0.000 0.000
B1 0.500 0.500 0.500
# Energy relative to the elements, eV/atom: 1.961
# Size of the total moment, μB per cell: 3.9
# DOS at the Fermi energy, states/eV/f.u.: 7.5